1.
The following is a DFT calculation (PBE-GGA) of an optimized crystal structure of ZrZnCr2.

Lattice parameters (Å, degrees): 5.0897 5.2306 2.6335 78.79 83.24 117.19
Last column: nearest neighbours and their distance in Å.
Element x y z (fractional)
Cr 0.0000 0.0000 0.0000  4 Cr 2.63-2.72, 2 Zn 2.69, 2 Zr 2.69
Cr 0.5000 0.0000 0.5000  4 Cr 2.63-2.72, 2 Zr 2.69, 2 Zn 2.69
Zn 0.0000 0.5000 0.5000  2 Zn 2.63, 4 Cr 2.69, 2 Zr 2.72
Zr 0.5000 0.5000 0.0000  2 Zr 2.63, 4 Cr 2.69, 2 Zn 2.72

Calculated values
For the raw total energy, the calculation gives -6.888 eV per atom. For the formation enthalpy at 0 K, the calculation gives 379 meV per atom. Its symmetry is C2/m. The calculation puts the density of states at the Fermi level at 1.3010 states/eV/atom.

---

2.
The following is a DFT calculation (PBE-GGA) of an optimized crystal structure of Re3TePb.

Lattice parameters (Å, degrees): 4.9129 4.9129 4.9129 90.00 90.00 90.00
Last column: nearest neighbours and their distance in Å.
Element x y z (fractional)
Pb 0.5000 0.5000 0.5000  12 Re 3.47
Re 0.0000 0.5000 0.0000  2 Te 2.46
Re 0.0000 0.0000 0.5000  2 Te 2.46
Re 0.5000 0.0000 0.0000  2 Te 2.46
Te 0.0000 0.0000 0.0000  6 Re 2.46

Calculated values
For the raw total energy, the calculation gives -6.499 eV per atom. Its symmetry is Pm-3m. The calculation puts the density of states at the Fermi level at 0.7706 states/eV/atom.

---

3.
The following is a DFT calculation (PBE-GGA) of an optimized crystal structure of CeZr2CrS6.

Lattice parameters (Å, degrees): 6.5687 6.5683 7.0604 62.27 62.26 59.99
Last column: nearest neighbours and their distance in Å.
Element x y z (fractional)
Ce 0.8115 0.8117 0.5652  6 S 2.77-2.89
Zr 0.5135 0.5135 0.4596  6 S 2.58-2.61
Zr 0.0035 0.0037 0.9891  6 S 2.56-2.61
Cr 0.3250 0.3250 0.0250  6 S 2.52-2.55
S 0.5943 0.2459 0.2388  1 Cr 2.55, 2 Zr 2.58-2.61
S 0.2459 0.9209 0.2386  1 Cr 2.55, 2 Zr 2.58-2.61
S 0.9212 0.5942 0.2390  1 Cr 2.55, 2 Zr 2.58-2.61
S 0.3737 0.7290 0.7532  1 Cr 2.52, 2 Zr 2.56-2.61, 1 Ce 2.77
S 0.7290 0.1439 0.7533  1 Cr 2.52, 2 Zr 2.56-2.61, 1 Ce 2.77
S 0.1440 0.3738 0.7534  1 Cr 2.52, 2 Zr 2.57-2.61, 1 Ce 2.77

Calculated values
For the raw total energy, the calculation gives -7.095 eV per atom. Its symmetry is R3. The calculation puts the density of states at the Fermi level at 0.9985 states/eV/atom.

---

4.
The following is a DFT calculation (PBE-GGA) of an optimized crystal structure of Ac6Si2AuI3.

Lattice parameters (Å, degrees): 8.0461 8.0461 8.4035 99.24 99.24 120.01
Last column: nearest neighbours and their distance in Å.
Element x y z (fractional)
Ac 0.9324 0.5961 0.7962  2 Si 3.13, 1 Au 3.15
Ac 0.7312 0.7312 0.2067  2 Si 3.12, 1 Au 3.18
Ac 0.0676 0.4039 0.2038  2 Si 3.13, 1 Au 3.15
Ac 0.5961 0.9324 0.7962  2 Si 3.13, 1 Au 3.15
Ac 0.2688 0.2688 0.7933  2 Si 3.12, 1 Au 3.18
Ac 0.4039 0.0676 0.2038  2 Si 3.13, 1 Au 3.15
Si 0.3339 0.6661 0.0000  6 Ac 3.12-3.13
Si 0.6661 0.3339 0.0000  6 Ac 3.12-3.13
Au 0.0000 0.0000 0.0000  6 Ac 3.15-3.18
I 0.1708 0.8292 0.5000  6 Ac 3.51-3.60
I 0.8292 0.1708 0.5000  6 Ac 3.51-3.60
I 0.5000 0.5000 0.5000  6 Ac 3.53-3.58

Calculated values
For the raw total energy, the calculation gives -4.504 eV per atom. Its symmetry is C2/m. The calculation puts the density of states at the Fermi level at 0.9444 states/eV/atom.

---

5.
The following is a DFT calculation (PBE-GGA) of an optimized crystal structure of Rb5I4Cl.

Lattice parameters (Å, degrees): 5.0906 7.3765 13.8866 105.40 100.56 90.00
Last column: nearest neighbours and their distance in Å.
Element x y z (fractional)
Rb 0.5878 0.0878 0.1757  2 Cl 3.44, 4 I 3.70-3.80
Rb 0.7984 0.2984 0.5968  6 I 3.69-3.73
Rb 0.2016 0.7016 0.4032  6 I 3.69-3.73
Rb 0.0000 0.5000 0.0000  4 I 3.64, 2 Cl 3.69
Rb 0.4122 0.9122 0.8243  2 Cl 3.44, 4 I 3.70-3.80
I 0.4008 0.4008 0.8016  6 Rb 3.64-3.70
I 0.8050 0.8050 0.6101  6 Rb 3.69-3.80
I 0.1950 0.1950 0.3899  6 Rb 3.69-3.80
I 0.5992 0.5992 0.1984  6 Rb 3.64-3.70
Cl 0.0000 0.0000 0.0000  6 Rb 3.44-3.69

Calculated values
For the raw total energy, the calculation gives -2.863 eV per atom. Its symmetry is Immm. The calculation puts the density of states at the Fermi level at 0.0000 states/eV/atom.

---

6.
The following is a DFT calculation (PBE-GGA) of an optimized crystal structure of PmNd6Sm12.

Lattice parameters (Å, degrees): 8.9429 9.6485 9.6485 69.09 72.00 108.00
Last column: nearest neighbours and their distance in Å.
Element x y z (fractional)
Pm 0.0000 0.0000 0.0000  12 Sm 3.64
Nd 0.4208 0.4744 0.2104  9 Sm 3.64-3.66, 3 Nd 3.65
Nd 0.0537 0.6848 0.5256  9 Sm 3.64-3.66, 3 Nd 3.65
Nd 0.3688 0.7896 0.6848  9 Sm 3.64-3.66, 3 Nd 3.65
Nd 0.5792 0.5256 0.7896  9 Sm 3.64-3.66, 3 Nd 3.65
Nd 0.9463 0.3152 0.4744  9 Sm 3.64-3.66, 3 Nd 3.65
Nd 0.6312 0.2104 0.3152  9 Sm 3.64-3.66, 3 Nd 3.65
Sm 0.5270 0.8423 0.2625  7 Sm 3.64-3.66, 4 Nd 3.64-3.66, 1 Pm 3.64
Sm 0.6847 0.8952 0.8423  7 Sm 3.64-3.66, 4 Nd 3.64-3.66, 1 Pm 3.64
Sm 0.7895 0.2625 0.8952  7 Sm 3.64-3.66, 4 Nd 3.64-3.66, 1 Pm 3.64
Sm 0.4730 0.1577 0.7375  7 Sm 3.64-3.66, 4 Nd 3.64-3.66, 1 Pm 3.64
Sm 0.3153 0.1048 0.1577  7 Sm 3.64-3.66, 4 Nd 3.64-3.66, 1 Pm 3.64
Sm 0.2105 0.7375 0.1048  7 Sm 3.64-3.66, 4 Nd 3.64-3.66, 1 Pm 3.64
Sm 0.2629 0.4202 0.6321  6 Sm 3.64-3.66, 1 Pm 3.64, 5 Nd 3.65-3.66
Sm 0.1050 0.3679 0.0523  6 Sm 3.64-3.66, 1 Pm 3.64, 5 Nd 3.65-3.66
Sm 0.1572 0.0523 0.5798  6 Sm 3.64-3.66, 1 Pm 3.64, 5 Nd 3.65-3.66
Sm 0.7371 0.5798 0.3679  6 Sm 3.64-3.66, 1 Pm 3.64, 5 Nd 3.65-3.66
Sm 0.8950 0.6321 0.9477  6 Sm 3.64-3.66, 1 Pm 3.64, 5 Nd 3.65-3.66
Sm 0.8428 0.9477 0.4202  6 Sm 3.64-3.66, 1 Pm 3.64, 5 Nd 3.65-3.66

Calculated values
For the raw total energy, the calculation gives -4.723 eV per atom. For the formation enthalpy at 0 K, the calculation gives 13 meV per atom. Its symmetry is R-3. The calculation puts the density of states at the Fermi level at 1.4711 states/eV/atom.

---

7.
The following is a DFT calculation (PBE-GGA) of an optimized crystal structure of TlCo2Sn.

Lattice parameters (Å, degrees): 6.9419 6.9419 5.7546 52.90 52.90 90.00
Last column: nearest neighbours and their distance in Å.
Element x y z (fractional)
Tl 0.0000 0.0000 0.0000  4 Co 2.63
Tl 0.7500 0.2500 0.5000  4 Co 2.63
Co 0.6107 0.1250 0.2500  2 Sn 2.50, 2 Tl 2.63
Co 0.1393 0.6250 0.2500  2 Sn 2.50, 2 Tl 2.63
Co 0.3750 0.3893 0.7500  2 Sn 2.50, 2 Tl 2.63
Co 0.8750 0.8607 0.7500  2 Sn 2.50, 2 Tl 2.63
Sn 0.5000 0.5000 0.0000  4 Co 2.50
Sn 0.2500 0.7500 0.5000  4 Co 2.50

Calculated values
For the raw total energy, the calculation gives -4.468 eV per atom. For the formation enthalpy at 0 K, the calculation gives 677 meV per atom. Its symmetry is I-42d. The calculation puts the density of states at the Fermi level at 1.0037 states/eV/atom.

---

8.
The following is a DFT calculation (PBE-GGA) of an optimized crystal structure of MnAuSe2.

Lattice parameters (Å, degrees): 7.1550 3.5254 16.4936 90.00 90.00 90.00
Last column: nearest neighbours and their distance in Å.
Element x y z (fractional)
Mn 0.5591 0.2500 0.3892  4 Se 2.48
Mn 0.9409 0.7500 0.8892  4 Se 2.48
Mn 0.4409 0.7500 0.6108  4 Se 2.48
Mn 0.0591 0.2500 0.1108  4 Se 2.48
Au 0.6903 0.2500 0.7276  2 Se 2.45-2.48
Au 0.8097 0.7500 0.2276  2 Se 2.45-2.48
Au 0.3097 0.7500 0.2724  2 Se 2.45-2.48
Au 0.1903 0.2500 0.7724  2 Se 2.45-2.48
Se 0.6731 0.2500 0.5776  1 Au 2.48, 2 Mn 2.48
Se 0.8269 0.7500 0.0776  1 Au 2.48, 2 Mn 2.48
Se 0.3269 0.7500 0.4224  1 Au 2.48, 2 Mn 2.48
Se 0.1731 0.2500 0.9224  1 Au 2.48, 2 Mn 2.48
Se 0.1992 0.2500 0.6240  1 Au 2.45, 2 Mn 2.48
Se 0.3008 0.7500 0.1240  1 Au 2.45, 2 Mn 2.48
Se 0.8008 0.7500 0.3760  1 Au 2.45, 2 Mn 2.48
Se 0.6992 0.2500 0.8760  1 Au 2.45, 2 Mn 2.48

Calculated values
For the raw total energy, the calculation gives -5.091 eV per atom. Its symmetry is Pnma. The calculation puts the density of states at the Fermi level at 0.0052 states/eV/atom.

---

9.
The following is a DFT calculation (PBE-GGA) of an optimized crystal structure of Ca4InSb.

Lattice parameters (Å, degrees): 6.5954 6.5954 6.5954 60.00 60.00 60.00
Last column: nearest neighbours and their distance in Å.
Element x y z (fractional)
Ca 0.8764 0.3745 0.3745  6 Ca 3.29-3.31
Ca 0.3745 0.3745 0.8764  6 Ca 3.29-3.31
Ca 0.3745 0.8764 0.3745  6 Ca 3.29-3.31
Ca 0.3745 0.3745 0.3745  6 Ca 3.29-3.31
In 0.7500 0.7500 0.7500  12 Ca 3.87, 4 Sb 4.04
Sb 0.0000 0.0000 0.0000  12 Ca 3.87, 4 In 4.04

Calculated values
For the raw total energy, the calculation gives -2.400 eV per atom. Its symmetry is F-43m. The calculation puts the density of states at the Fermi level at 1.2974 states/eV/atom.

---

10.
The following is a DFT calculation (PBE-GGA) of an optimized crystal structure of BaLaP2.

Lattice parameters (Å, degrees): 6.2330 6.2330 4.5743 96.90 96.90 39.62
Last column: nearest neighbours and their distance in Å.
Element x y z (fractional)
Ba 0.5135 0.5135 0.6003  7 P 3.14-3.50, 1 La 3.41
La 0.2591 0.2591 0.1473  6 P 3.00-3.26
P 0.9441 0.9441 0.0588  1 P 2.35
P 0.7832 0.7832 0.6936  1 P 2.35

Calculated values
For the raw total energy, the calculation gives -5.391 eV per atom. For the formation enthalpy at 0 K, the calculation gives -974 meV per atom. Its symmetry is Cm. The calculation puts the density of states at the Fermi level at 0.8250 states/eV/atom.

---

11.
The following is a DFT calculation (PBE-GGA) of an optimized crystal structure of HgBiN.

Lattice parameters (Å, degrees): 3.3254 13.7991 16.7753 125.00 99.32 116.16
Last column: nearest neighbours and their distance in Å.
Element x y z (fractional)
Hg 0.6331 0.3619 0.3582  2 Bi 3.10, 3 Hg 3.22-3.33
Hg 0.3733 0.1383 0.6420  2 Bi 3.10, 3 Hg 3.22-3.33
Hg 0.3669 0.6381 0.6418  2 Bi 3.10, 3 Hg 3.22-3.33
Hg 0.6267 0.8617 0.3580  2 Bi 3.10, 3 Hg 3.22-3.33
Bi 0.8537 0.3819 0.6356  3 Bi 3.04-3.33, 2 Hg 3.10
Bi 0.1571 0.1209 0.3674  3 Bi 3.04-3.33, 2 Hg 3.10
Bi 0.1463 0.6181 0.3644  3 Bi 3.04-3.33, 2 Hg 3.10
Bi 0.8429 0.8791 0.6326  3 Bi 3.04-3.33, 2 Hg 3.10
N 0.5330 0.0237 0.9816  1 N 1.11
N 0.9698 0.4780 0.0197  1 N 1.11
N 0.4670 0.9763 0.0184  1 N 1.11
N 0.0302 0.5220 0.9803  1 N 1.11

Calculated values
For the raw total energy, the calculation gives -4.088 eV per atom. Its symmetry is P-1. The calculation puts the density of states at the Fermi level at 0.4015 states/eV/atom.

---

12.
The following is a DFT calculation (PBE-GGA) of an optimized crystal structure of NdDyPu2As4.

Lattice parameters (Å, degrees): 4.1726 7.1882 7.2242 70.43 90.00 90.00
Last column: nearest neighbours and their distance in Å.
Element x y z (fractional)
Nd 0.5000 0.5000 0.0000  6 As 2.99
Dy 0.0000 0.5000 0.5000  6 As 2.95
Pu 0.0000 0.0000 0.0000  6 As 2.94
Pu 0.5000 0.0000 0.5000  6 As 2.89
As 0.0000 0.7592 0.7422  3 Pu 2.89-2.94, 1 Dy 2.95, 2 Nd 2.99
As 0.0000 0.2408 0.2578  3 Pu 2.89-2.94, 1 Dy 2.95, 2 Nd 2.99
As 0.5000 0.7557 0.2527  3 Pu 2.89-2.94, 2 Dy 2.95, 1 Nd 2.99
As 0.5000 0.2443 0.7473  3 Pu 2.89-2.94, 2 Dy 2.95, 1 Nd 2.99

Calculated values
For the raw total energy, the calculation gives -8.344 eV per atom. For the formation enthalpy at 0 K, the calculation gives -1265 meV per atom. Its symmetry is P2/m. The calculation puts the density of states at the Fermi level at 2.7343 states/eV/atom.

---

Among the records above, which one has the lowest raw total energy? NdDyPu2As4